ZrFe2 | GGA-PBEsol | relaxed

a b c (Å): 4.889 4.889 15.937
angles (deg): 90.00 90.00 120.00
Positions (direct):
Zr 0.000 0.000 0.094
Zr 0.000 0.000 0.406
Zr 0.000 0.000 0.594
Zr 0.000 0.000 0.906
Zr 0.333 0.667 0.156
Zr 0.333 0.667 0.344
Zr 0.667 0.333 0.656
Zr 0.667 0.333 0.844
Fe 0.000 0.500 0.000
Fe 0.000 0.500 0.500
Fe 0.166 0.331 0.750
Fe 0.166 0.834 0.750
Fe 0.331 0.166 0.250
Fe 0.333 0.667 0.625
Fe 0.333 0.667 0.875
Fe 0.500 0.000 0.000
Fe 0.500 0.000 0.500
Fe 0.500 0.500 0.000
Fe 0.500 0.500 0.500
Fe 0.667 0.333 0.125
Fe 0.667 0.333 0.375
Fe 0.669 0.834 0.750
Fe 0.834 0.166 0.250
Fe 0.834 0.669 0.250

Properties
Energy in eV per atom: -9.290
Crystal system: hexagonal

***

ZrFe2Tc2 | GGA-PBEsol | relaxed

a b c (Å): 5.646 5.646 5.646
angles (deg): 140.44 140.44 57.19
Positions (direct):
Zr 0.000 0.000 0.000
Fe 0.396 0.396 0.000
Fe 0.604 0.604 0.000
Tc 0.250 0.750 0.500
Tc 0.750 0.250 0.500

Properties
Energy in eV per atom: -9.920
Crystal system: tetragonal

***

Li2V3CrO8 | GGA-PBEsol | relaxed

a b c (Å): 6.173 6.173 6.266
angles (deg): 106.16 106.16 36.95
Positions (direct):
Li 0.000 0.000 0.000
Li 0.114 0.114 0.681
V 0.341 0.341 0.049
V 0.446 0.446 0.634
V 0.671 0.671 0.057
Cr 0.770 0.770 0.644
O 0.168 0.168 0.022
O 0.286 0.286 0.691
O 0.400 0.400 0.340
O 0.498 0.498 0.987
O 0.617 0.617 0.698
O 0.712 0.712 0.339
O 0.829 0.829 0.991
O 0.943 0.943 0.662

Properties
Formation energy (no corrections) in meV/atom: -2228
ΔE to the lowest computed polymorph in meV per atom: 40.8
Crystal system: monoclinic

***

Ca2SbCl | GGA-PBEsol | relaxed

a b c (Å): 8.584 8.584 8.584
angles (deg): 136.87 136.87 62.65
Positions (direct):
Ca 0.106 0.625 0.981
Ca 0.375 0.356 0.481
Ca 0.644 0.125 0.019
Ca 0.875 0.894 0.519
Sb 0.250 0.750 0.500
Sb 0.500 0.500 0.000
Cl 0.000 0.000 0.000
Cl 0.750 0.250 0.500

Properties
Formation energy (no corrections) in meV/atom: -1224
Crystal system: tetragonal

***

Mn4Cr5 | GGA-PBEsol | relaxed

a b c (Å): 6.068 6.068 6.068
angles (deg): 93.02 93.02 153.46
Positions (direct):
Mn 0.000 0.332 0.332
Mn 0.000 0.668 0.668
Mn 0.332 0.000 0.332
Mn 0.668 0.000 0.668
Cr 0.000 0.000 0.000
Cr 0.332 0.332 0.663
Cr 0.332 0.668 0.000
Cr 0.668 0.332 0.000
Cr 0.668 0.668 0.337

Properties
Energy in eV per atom: -9.956
Crystal system: tetragonal

***

SrLa2TcSe | GGA-PBEsol | relaxed

a b c (Å): 5.161 5.161 5.999
angles (deg): 90.00 90.00 90.00
Positions (direct):
Sr 0.000 0.000 0.000
La 0.000 0.500 0.500
La 0.500 0.000 0.500
Tc 0.000 0.000 0.500
Se 0.500 0.500 0.000

Properties
Formation energy (no corrections) in meV/atom: -256
Crystal system: tetragonal

***

CuRuPt2 | GGA-PBEsol | relaxed

a b c (Å): 2.673 4.392 4.695
angles (deg): 90.00 90.00 90.00
Positions (direct):
Cu 0.000 0.000 0.000
Ru 0.000 0.500 0.335
Pt 0.500 0.000 0.494
Pt 0.500 0.500 0.843

Properties
ΔE to the lowest computed polymorph in meV per atom: 62.9
Crystal system: orthorhombic

***

Nd2MoO6 | GGA-PBEsol | relaxed

a b c (Å): 16.246 16.246 16.246
angles (deg): 160.01 160.01 28.41
Positions (direct):
Nd 0.038 0.288 0.750
Nd 0.212 0.462 0.750
Nd 0.288 0.038 0.250
Nd 0.462 0.212 0.250
Nd 0.538 0.788 0.750
Nd 0.712 0.962 0.750
Nd 0.788 0.538 0.250
Nd 0.962 0.712 0.250
Mo 0.125 0.875 0.250
Mo 0.375 0.625 0.750
Mo 0.625 0.375 0.250
Mo 0.875 0.125 0.750
O 0.005 0.750 0.755
O 0.009 0.916 0.747
O 0.084 0.332 0.094
O 0.168 0.416 0.406
O 0.238 0.832 0.747
O 0.250 0.005 0.755
O 0.250 0.505 0.255
O 0.262 0.009 0.594
O 0.332 0.738 0.247
O 0.416 0.509 0.247
O 0.491 0.238 0.906
O 0.495 0.250 0.745
O 0.505 0.750 0.255
O 0.509 0.762 0.094
O 0.584 0.491 0.753
O 0.668 0.262 0.753
O 0.738 0.991 0.406
O 0.750 0.495 0.745
O 0.750 0.995 0.245
O 0.762 0.168 0.253
O 0.832 0.584 0.594
O 0.916 0.668 0.906
O 0.991 0.084 0.253
O 0.995 0.250 0.245

Properties
Formation energy (no corrections) in meV/atom: -2910
Crystal system: tetragonal

***

BaLa2Tl | GGA-PBEsol | relaxed

a b c (Å): 3.928 3.928 9.394
angles (deg): 90.00 90.00 90.00
Positions (direct):
Ba 0.000 0.000 0.000
La 0.000 0.000 0.561
La 0.500 0.500 0.328
Tl 0.500 0.500 0.756

Properties
ΔE to the lowest computed polymorph in meV per atom: 0.0
Crystal system: tetragonal

***

ZnCu2GeSe2S2 | GGA-PBEsol | relaxed

a b c (Å): 7.633 6.584 6.264
angles (deg): 90.00 90.00 90.00
Positions (direct):
Zn 0.000 0.145 0.000
Zn 0.500 0.855 0.500
Cu 0.249 0.311 0.517
Cu 0.251 0.689 0.017
Cu 0.749 0.689 0.017
Cu 0.751 0.311 0.517
Ge 0.000 0.839 0.505
Ge 0.500 0.161 0.005
Se 0.249 0.660 0.637
Se 0.251 0.340 0.137
Se 0.749 0.340 0.137
Se 0.751 0.660 0.637
S 0.000 0.162 0.628
S 0.000 0.821 0.141
S 0.500 0.179 0.641
S 0.500 0.838 0.128

Properties
Formation energy (no corrections) in meV/atom: -405
Crystal system: orthorhombic

***

Mo2WSe | GGA-PBEsol | relaxed

a b c (Å): 5.207 5.207 5.207
angles (deg): 145.48 130.31 61.91
Positions (direct):
Mo 0.238 0.238 0.000
Mo 0.762 0.762 0.000
W 0.500 0.000 0.500
Se 0.000 0.500 0.500

Properties
Formation energy (no corrections) in meV/atom: 289
Crystal system: orthorhombic

***

Ca2TlCd2 | GGA-PBEsol | relaxed

a b c (Å): 8.031 8.031 4.185
angles (deg): 90.00 90.00 90.00
Positions (direct):
Ca 0.174 0.326 0.000
Ca 0.326 0.826 0.000
Ca 0.674 0.174 0.000
Ca 0.826 0.674 0.000
Tl 0.000 0.000 0.500
Tl 0.500 0.500 0.500
Cd 0.125 0.625 0.500
Cd 0.375 0.125 0.500
Cd 0.625 0.875 0.500
Cd 0.875 0.375 0.500

Properties
Energy in eV per atom: -2.165
Crystal system: tetragonal

***

| no. | volume (A^3/atom) |
| --- | --- |
| 1 | 13.74 |
| 2 | 14.48 |
| 3 | 9.80 |
| 4 | 36.50 |
| 5 | 10.80 |
| 6 | 31.96 |
| 7 | 13.78 |
| 8 | 13.91 |
| 9 | 36.23 |
| 10 | 19.68 |
| 11 | 15.09 |
| 12 | 26.99 |